#a
## NaSr4Mg (PBE-GGA)

Data for a relaxed structure of NaSr4Mg.

ρ: 2.41 g/cm³

a b c (Å): 4.2437 4.2437 15.2132
angles (deg): 90.00 90.00 90.00
Last column: nearest neighbours and their distance in Å.
Fractional coordinates of all 6 atoms:
Na 0.0000 0.0000 0.0000  8 Sr 3.93, 4 Na 4.24
Sr 0.0000 0.0000 0.3657  4 Mg 3.63
Sr 0.0000 0.0000 0.6343  4 Mg 3.63
Sr 0.5000 0.5000 0.1665  4 Na 3.93, 8 Sr 4.24-4.26
Sr 0.5000 0.5000 0.8335  4 Na 3.93, 8 Sr 4.24-4.26
Mg 0.5000 0.5000 0.5000  8 Sr 3.63


#b
## NaSr4Mg (PBE-GGA)

Data for a relaxed structure of NaSr4Mg.

ρ: 2.11 g/cm³

a b c (Å): 6.1002 6.1002 10.3347
angles (deg): 107.23 107.23 60.09
Last column: nearest neighbours and their distance in Å.
Fractional coordinates of all 6 atoms:
Na 0.0000 0.0000 0.0000  8 Sr 3.78-3.86
Sr 0.1323 0.1323 0.3972  3 Mg 3.66, 1 Na 3.86, 3 Sr 4.05
Sr 0.3805 0.3805 0.1408  1 Mg 3.49, 3 Na 3.78
Sr 0.6195 0.6195 0.8592  1 Mg 3.49, 3 Na 3.78
Sr 0.8677 0.8677 0.6028  3 Mg 3.66, 1 Na 3.86, 3 Sr 4.05
Mg 0.5000 0.5000 0.5000  8 Sr 3.49-3.66


Q: Which of them is the least stable? A: #b.


#a
## NaSrMg (PBE-GGA)

Data for a relaxed structure of NaSrMg.

ρ: 2.00 g/cm³

a b c (Å): 5.5891 5.5891 8.2735
angles (deg): 90.00 90.00 120.00
Last column: nearest neighbours and their distance in Å.
Fractional coordinates of all 6 atoms:
Na 0.3333 0.6667 0.4990  3 Na 3.23
Na 0.6667 0.3333 0.5010  3 Na 3.23
Sr 0.0000 0.0000 0.2289  6 Mg 3.74, 1 Sr 3.79, 6 Na 3.93
Sr 0.0000 0.0000 0.7711  6 Mg 3.74, 1 Sr 3.79, 6 Na 3.93
Mg 0.3333 0.6667 0.9996  3 Mg 3.23
Mg 0.6667 0.3333 0.0004  3 Mg 3.23


#b
## NaSrMg (PBE-GGA)

Data for a relaxed structure of NaSrMg.

ρ: 2.05 g/cm³

a b c (Å): 6.8796 6.8796 6.8796
angles (deg): 144.46 144.46 51.14
Last column: nearest neighbours and their distance in Å.
Fractional coordinates of all 3 atoms:
Na 0.0000 0.0000 0.0000  4 Mg 3.39, 1 Sr 3.76
Sr 0.6973 0.6973 0.0000  5 Mg 3.65-4.08, 5 Na 3.76-3.85
Mg 0.3683 0.3683 0.0000  4 Na 3.39, 4 Sr 3.65


#c
## NaSrMg (PBE-GGA)

Data for a relaxed structure of NaSrMg.

ρ: 1.99 g/cm³

a b c (Å): 5.6901 5.6901 4.0132
angles (deg): 90.00 90.00 120.00
Last column: nearest neighbours and their distance in Å.
Fractional coordinates of all 3 atoms:
Na 0.0000 0.0000 0.0000  3 Mg 3.29
Sr 0.6667 0.3333 0.5000  6 Na 3.85, 6 Mg 3.85, 2 Sr 4.01
Mg 0.3333 0.6667 0.0000  3 Na 3.29


Q: Which of them is the least stable? A: #c.